Entry 1:
A geometry-optimized Cs2TbOF4 structure. Source: OQMD via LeMat-Bulk, functional PBE.

Summary:
Uncorrected energy (eV per atom): -5.1355

abc: 7.659 7.659 6.952
angles: 90.00 90.00 128.51
Site moments in Bohr magnetons follow the coordinates.
Atoms (fractional coordinates):
F1 0.115 0.324 0.023  0.01
Cs1 0.245 0.755 0.250  0.01
F2 0.676 0.885 0.477  0.01
O1 0.748 0.252 0.250  0.72
F3 0.324 0.115 0.523  0.01
F4 0.676 0.885 0.023  0.01
O2 0.252 0.748 0.750  0.72
Cs2 0.539 0.461 0.250  0.00
F5 0.885 0.676 0.977  0.01
Tb1 0.905 0.095 0.250  -0.02
Tb2 0.095 0.905 0.750  -0.02
F6 0.885 0.676 0.523  0.01
Cs3 0.461 0.539 0.750  0.00
Cs4 0.755 0.245 0.750  0.01
F7 0.324 0.115 0.977  0.01
F8 0.115 0.324 0.477  0.01

---

Entry 2:
A geometry-optimized TbPrFe2Si4 structure. Source: OQMD via LeMat-Bulk, functional PBE.

Summary:
Relative energy among the computed polymorphs (eV per atom): 0.109

abc: 4.031 8.465 8.465
angles: 28.33 90.00 90.00
Site moments in Bohr magnetons follow the coordinates.
Atoms (fractional coordinates):
Tb1 0.500 0.608 0.608  0.02
Si1 0.500 0.248 0.248  -0.01
Si2 0.500 0.958 0.958  0.00
Si3 0.000 0.747 0.747  -0.01
Si4 0.000 0.045 0.045  0.00
Fe1 0.000 0.181 0.181  0.55
Pr1 0.000 0.394 0.394  0.01
Fe2 0.500 0.818 0.818  0.82

---

Entry 3:
A geometry-optimized HfZrZn2 structure. Source: OQMD via LeMat-Bulk, functional PBE.

Summary:
Relative energy among the computed polymorphs (eV per atom): 0.434

abc: 4.770 4.770 4.770
angles: 60.00 60.00 60.00
Site moments in Bohr magnetons follow the coordinates.
Atoms (fractional coordinates):
Hf1 0.500 0.500 0.500  0.92
Zn1 0.000 0.000 0.000  0.02
Zn2 0.250 0.250 0.250  0.02
Zr1 0.750 0.750 0.750  1.02

---

Entry 4:
A geometry-optimized SrNd2Al7Ag2 structure. Source: OQMD via LeMat-Bulk, functional PBE.

Summary:
Uncorrected energy (eV per atom): -4.0094

abc: 9.526 9.526 9.526
angles: 34.83 34.83 34.83
Atoms (fractional coordinates):
Al1 0.926 0.412 0.412
Al2 0.412 0.412 0.926
Ag1 0.664 0.664 0.664
Nd1 0.142 0.142 0.142
Al3 0.500 0.500 0.500
Al4 0.588 0.074 0.588
Ag2 0.336 0.336 0.336
Al5 0.412 0.926 0.412
Sr1 0.000 0.000 0.000
Al6 0.074 0.588 0.588
Al7 0.588 0.588 0.074
Nd2 0.858 0.858 0.858

---

Entry 5:
A geometry-optimized K2NpSb2 structure. Source: OQMD via LeMat-Bulk, functional PBE.

Summary:
Uncorrected energy (eV per atom): -4.8693

abc: 10.098 10.098 5.723
angles: 90.00 90.00 137.66
Site moments in Bohr magnetons follow the coordinates.
Atoms (fractional coordinates):
K1 0.585 0.415 0.750  0.01
Sb1 0.334 0.088 0.250  -0.04
K2 0.217 0.783 0.750  0.00
Np1 0.000 0.000 0.000  4.44
Sb2 0.088 0.334 0.750  -0.05
Sb3 0.666 0.912 0.750  -0.04
Sb4 0.912 0.666 0.250  -0.05
K3 0.783 0.217 0.250  0.00
K4 0.415 0.585 0.250  0.01
Np2 0.000 0.000 0.500  4.46

---

Entry 6:
A geometry-optimized LuAlMo2 structure. Source: OQMD via LeMat-Bulk, functional PBE.

Summary:
Uncorrected energy (eV per atom): -7.5174

abc: 4.641 4.641 4.641
angles: 60.00 60.00 60.00
Atoms (fractional coordinates):
Lu1 0.250 0.250 0.250
Mo1 0.750 0.750 0.750
Mo2 0.000 0.000 0.000
Al1 0.500 0.500 0.500

---

Entry 7:
A geometry-optimized LuPuOs structure. Source: OQMD via LeMat-Bulk, functional PBE.

Summary:
Relative energy among the computed polymorphs (eV per atom): 0.000

abc: 4.705 4.705 4.705
angles: 60.00 60.00 60.00
Atoms (fractional coordinates):
Lu1 0.250 0.250 0.250
Os1 0.000 0.000 0.000
Pu1 0.750 0.750 0.750

---

Entry 8:
A geometry-optimized Zn2Ge2O5 structure. Source: OQMD via LeMat-Bulk, functional PBE.

Summary:
Relative energy among the computed polymorphs (eV per atom): 0.176

abc: 7.827 3.621 3.621
angles: 90.00 90.00 90.00
Atoms (fractional coordinates):
O1 0.847 0.000 0.500
O2 0.500 0.500 0.500
Zn1 0.246 0.500 0.500
O3 0.847 0.500 0.000
O4 0.153 0.000 0.500
O5 0.153 0.500 0.000
Ge1 0.000 0.000 0.000
Zn2 0.754 0.500 0.500
Ge2 0.500 0.000 0.000